Entry 1:
A plane-wave DFT calculation with PBEsol was carried out for SrLaCr after structural relaxation.

Cell and atoms, written as extended XYZ:
```
3
Lattice="5.170 0.000 0.000 2.585 4.477 0.000 2.585 1.492 4.221" Properties=species:S:1:pos:R:3 pbc="T T T"
Cr 5.170 2.985 2.111
La 2.585 1.492 1.055
Sr 0.000 0.000 0.000
```

Formation energy: 3.6 eV/f.u.
SG: No. 216
Total energy: -4.599 eV/atom

Entry 2:
A plane-wave DFT calculation with PBEsol was carried out for Sr3LaCr after structural relaxation.

Cell and atoms, written as extended XYZ:
```
5
Lattice="6.008 0.000 0.000 0.000 6.008 0.000 0.000 0.000 6.008" Properties=species:S:1:pos:R:3 pbc="T T T"
Sr 0.000 3.004 0.000
Sr 0.000 0.000 3.004
Sr 3.004 0.000 0.000
Cr 0.000 0.000 0.000
La 3.004 3.004 3.004
```

Formation energy: 3.6 eV/f.u.
SG: No. 221
Total energy: -3.493 eV/atom

Entry 3:
A plane-wave DFT calculation with PBEsol was carried out for SrLa2Cr after structural relaxation.

Cell and atoms, written as extended XYZ:
```
4
Lattice="3.858 0.000 0.000 0.000 5.641 0.000 -1.929 -2.820 5.881" Properties=species:S:1:pos:R:3 pbc="T T T"
Cr 0.000 2.820 3.080
La 1.929 2.820 5.310
La 1.929 0.000 2.910
Sr 1.929 2.820 0.462
```

Formation energy: 2.0 eV/f.u.
SG: No. 44
Total energy: -5.201 eV/atom
Energy relative to the lowest polymorph listed for this composition: 0.046 eV per atom

Entry 4:
A plane-wave DFT calculation with PBEsol was carried out for SrLa2Cr after structural relaxation.

Cell and atoms, written as extended XYZ:
```
4
Lattice="4.863 0.000 0.000 0.000 4.863 0.000 -2.431 -2.431 5.250" Properties=species:S:1:pos:R:3 pbc="T T T"
Cr 2.431 0.000 2.625
La 0.000 0.000 0.000
La 0.000 2.431 2.625
Sr 2.431 2.431 0.000
```

Formation energy: 2.4 eV/f.u.
SG: No. 119
Total energy: -5.098 eV/atom
Energy relative to the lowest polymorph listed for this composition: 0.150 eV per atom

Entry 5:
A plane-wave DFT calculation with PBEsol was carried out for LaTa2Cr after structural relaxation.

Cell and atoms, written as extended XYZ:
```
4
Lattice="-1.413 -2.815 -0.730 0.141 -1.249 4.542 -3.816 4.063 -1.122" Properties=species:S:1:pos:R:3 pbc="T T T"
Cr 0.071 -0.624 2.271
La -0.706 -1.408 -0.365
Ta -2.389 1.087 0.429
Ta -2.698 -1.089 2.259
```

Formation energy: 2.4 eV/f.u.
SG: No. 12
Total energy: -9.583 eV/atom
Energy relative to the lowest polymorph listed for this composition: 0.128 eV per atom

Entry 6:
A plane-wave DFT calculation with PBEsol was carried out for LaTaCr after structural relaxation.

Cell and atoms, written as extended XYZ:
```
3
Lattice="-2.119 0.885 2.267 -2.384 -3.727 -0.774 3.276 -0.027 3.072" Properties=species:S:1:pos:R:3 pbc="T T T"
Cr -0.040 0.017 0.043
La -0.070 -0.651 3.352
Ta -1.116 -2.235 1.171
```

Formation energy: 2.2 eV/f.u.
SG: No. 156
Total energy: -8.636 eV/atom
Energy relative to the lowest polymorph listed for this composition: 0.000 eV per atom

Entry 7:
A plane-wave DFT calculation with PBEsol was carried out for La2TaCr after structural relaxation.

Cell and atoms, written as extended XYZ:
```
4
Lattice="3.263 0.000 0.000 1.631 2.826 0.000 1.631 0.942 10.084" Properties=species:S:1:pos:R:3 pbc="T T T"
Cr 0.000 0.000 0.000
La 1.631 0.942 2.424
La 4.895 2.826 7.660
Ta 3.263 1.884 5.042
```

Formation energy: 3.2 eV/f.u.
SG: No. 166
Total energy: -7.565 eV/atom
Energy relative to the lowest polymorph listed for this composition: 0.022 eV per atom

Entry 8:
A plane-wave DFT calculation with PBEsol was carried out for LaTaCr after structural relaxation.

Cell and atoms, written as extended XYZ:
```
3
Lattice="4.551 0.000 0.000 2.276 3.941 0.000 2.276 1.314 3.716" Properties=species:S:1:pos:R:3 pbc="T T T"
Cr 4.551 2.628 1.858
La 2.276 1.314 0.929
Ta 0.000 0.000 0.000
```

Formation energy: 5.2 eV/f.u.
SG: No. 216
Total energy: -7.660 eV/atom
Energy relative to the lowest polymorph listed for this composition: 0.977 eV per atom

Repeat the fourth record exactly.
A plane-wave DFT calculation with PBEsol was carried out for SrLa2Cr after structural relaxation.

Cell and atoms, written as extended XYZ:
```
4
Lattice="4.863 0.000 0.000 0.000 4.863 0.000 -2.431 -2.431 5.250" Properties=species:S:1:pos:R:3 pbc="T T T"
Cr 2.431 0.000 2.625
La 0.000 0.000 0.000
La 0.000 2.431 2.625
Sr 2.431 2.431 0.000
```

Formation energy: 2.4 eV/f.u.
SG: No. 119
Total energy: -5.098 eV/atom
Energy relative to the lowest polymorph listed for this composition: 0.150 eV per atom